(1)
LiLaPuS3 | GGA-PBE | optimized geometry

* formation energy (no corrections): -1.7638 eV/atom
* DOS(E_F): 21.52 states/eV/cell
* magnetic moment: 11.5 Bohr magnetons per cell

a = 3.950 Å, b = 8.252 Å, c = 8.581 Å
α = 102.09°, β = 90.00°, γ = 90.00°
Fractional positions:
S 0.250 0.102 0.865
S 0.750 0.424 0.166
S 0.250 0.576 0.834
S 0.250 0.792 0.505
S 0.750 0.898 0.135
S 0.750 0.208 0.495
Pu 0.250 0.662 0.168
Pu 0.750 0.338 0.832
Li 0.250 0.089 0.584
Li 0.750 0.911 0.416
La 0.750 0.821 0.780
La 0.250 0.179 0.220

(2)
K2H4Cl | GGA-PBE | optimized geometry

* DOS(E_F): 3.86 states/eV/cell
* magnetic moment: 0.0 Bohr magnetons per cell
* E: -2.944 eV/atom

a = 4.796 Å, b = 7.973 Å, c = 7.973 Å
α = 90.00°, β = 90.00°, γ = 90.00°
Fractional positions:
H 0.500 0.461 0.970
H 0.500 0.030 0.539
H 0.500 0.970 0.461
H 0.000 0.470 0.039
H 0.000 0.961 0.530
H 0.000 0.530 0.961
H 0.000 0.039 0.470
H 0.500 0.539 0.030
K 0.500 0.308 0.308
K 0.500 0.692 0.692
K 0.000 0.192 0.808
K 0.000 0.808 0.192
Cl 0.000 0.500 0.500
Cl 0.500 0.000 0.000

(3)
Sr4Tl | GGA-PBE | optimized geometry

* E_form: -61 kJ/mol of formula units
* DOS(E_F): 31.48 states/eV/cell
* magnetic moment: 0.0 Bohr magnetons per cell
* ΔE to the lowest computed polymorph: 0 meV/atom

a = 12.659 Å, b = 12.624 Å, c = 12.624 Å
α = 83.92°, β = 57.76°, γ = 57.76°
Fractional positions:
Sr 0.141 0.550 0.346
Sr 0.946 0.798 0.154
Sr 0.379 0.778 0.735
Sr 0.966 0.953 0.855
Sr 0.123 0.059 0.503
Sr 0.250 0.384 0.616
Sr 0.034 0.047 0.145
Sr 0.377 0.497 0.941
Sr 0.500 0.000 0.500
Sr 0.877 0.941 0.497
Sr 0.446 0.154 0.798
Sr 0.859 0.450 0.654
Sr 0.359 0.654 0.450
Sr 0.879 0.735 0.778
Sr 0.534 0.145 0.047
Sr 0.000 0.500 0.000
Sr 0.054 0.202 0.846
Sr 0.621 0.222 0.265
Sr 0.466 0.855 0.953
Sr 0.623 0.503 0.059
Sr 0.121 0.265 0.222
Sr 0.641 0.346 0.550
Sr 0.750 0.616 0.384
Sr 0.554 0.846 0.202
Tl 0.250 0.776 0.224
Tl 0.713 0.773 0.618
Tl 0.213 0.618 0.773
Tl 0.750 0.224 0.776
Tl 0.287 0.227 0.382
Tl 0.787 0.382 0.227

> Among the records above, which one has the highest DOS(E_F)?

Sr4Tl